1.
Entry from the Alexandria database: a geometry-optimized NdTmGe2 structure (PBE).

It has space group R-3m (No. 166, hexagonal axes), with a = 4.6380 Å, b = 4.6380 Å, c = 16.1319 Å, α = 90.00°, β = 90.00° and γ = 120.00°. The distinct sites, in fractional coordinates, are Nd at (0.0000, 0.0000, 0.0000), Tm at (0.0000, 0.0000, 0.5000) and Ge at (0.0000, 0.0000, 0.2405).

The value obtained for the calculated total energy is -5.30 eV/atom. For the total magnetization, the calculation gives 0.00 μB/atom. The calculation puts the energy above the most stable polymorph in this dataset at 146.1 meV/atom.


2.
Entry from the Alexandria database: a geometry-optimized La2Cu4SiGe3 structure (PBE).

It has space group P-4m2 (No. 115), with a = 4.242 Å, b = 4.242 Å, c = 10.057 Å, α = 90.00°, β = 90.00° and γ = 90.00°. The distinct sites, in fractional coordinates, are La at (0.000, 0.500, 0.249), Cu at (0.000, 0.000, 0.500), Cu at (0.000, 0.500, 0.877), Cu at (0.500, 0.500, 0.500), Si at (0.500, 0.500, 0.000), Ge at (0.000, 0.000, 0.000) and Ge at (0.000, 0.500, 0.631).

The value obtained for the calculated total energy is -5.09 eV/atom. For the total magnetization, the calculation gives 0.00 μB/atom. Its raw formation energy is -12.400 kcal/mol of atoms.


3.
Entry from the Alexandria database: a geometry-optimized AcPm5N6 structure (PBE).

It has space group C2/m (No. 12), with a = 6.355 Å, b = 11.009 Å, c = 6.345 Å, α = 90.00°, β = 109.44° and γ = 90.00°. The distinct sites, in fractional coordinates, are Ac at (0.000, 0.000, 0.000), Pm at (0.000, 0.170, 0.500), Pm at (0.000, 0.334, 0.000), Pm at (0.000, 0.500, 0.500), N at (0.239, 0.500, 0.253) and N at (0.243, 0.328, 0.745).

The value obtained for the calculated total energy is -7.83 eV/atom. For the total magnetization, the calculation gives 0.00 μB/atom. Its raw formation energy is -31.023 kcal/mol of atoms.


4.
Entry from the Alexandria database: a geometry-optimized Sm2ErZn structure (PBE).

It has space group I4/mmm (No. 139), with a = 5.087 Å, b = 5.087 Å, c = 17.348 Å, α = 90.00°, β = 90.00° and γ = 90.00°. The distinct sites, in fractional coordinates, are Sm at (0.000, 0.000, 0.145), Sm at (0.000, 0.500, 0.000), Er at (0.000, 0.000, 0.351) and Zn at (0.000, 0.500, 0.250).

The value obtained for the calculated total energy is -3.98 eV/atom. For the total magnetization, the calculation gives 0.00 μB/atom. The calculation puts the energy above the most stable polymorph in this dataset at 0.0 meV/atom.


5.
Entry from the Alexandria database: a geometry-optimized CsCaH2SeF structure (PBE).

It has space group P3m1 (No. 156), with a = 4.8105 Å, b = 4.8105 Å, c = 7.1135 Å, α = 90.00°, β = 90.00° and γ = 120.00°. The distinct sites, in fractional coordinates, are Cs at (0.0000, 0.0000, 0.0000), Ca at (0.3333, 0.6667, 0.4994), H at (0.6667, 0.3333, 0.1204), H at (0.6667, 0.3333, 0.2266), Se at (0.6667, 0.3333, 0.6259) and F at (0.3333, 0.6667, 0.2013).

The value obtained for the calculated total energy is -4.00 eV/atom. For the total magnetization, the calculation gives 0.00 μB/atom. The calculation puts the energy above the most stable polymorph in this dataset at 34.5 meV/atom.


6.
Entry from the Alexandria database: a geometry-optimized BaMg2GaIr structure (PBE).

It has space group P4/mmm (No. 123), with a = 6.257 Å, b = 6.257 Å, c = 5.932 Å, α = 90.00°, β = 90.00° and γ = 90.00°. The distinct sites, in fractional coordinates, are Ba at (0.000, 0.000, 0.000), Mg at (0.000, 0.500, 0.000), Ga at (0.000, 0.000, 0.500) and Ir at (0.500, 0.500, 0.500).

The value obtained for the calculated total energy is -1.43 eV/atom. For the total magnetization, the calculation gives 0.26 μB/atom. The calculation puts the energy above the most stable polymorph in this dataset at 2365.7 meV/atom.


7.
Entry from the Alexandria database: a geometry-optimized CaCdPO4 structure (PBE).

It has space group Imma (No. 74), with a = 5.848 Å, b = 7.041 Å, c = 9.059 Å, α = 90.00°, β = 90.00° and γ = 90.00°. The distinct sites, in fractional coordinates, are Ca at (0.000, 0.000, 0.000), Cd at (0.250, 0.250, 0.250), P at (0.000, 0.250, 0.628), O at (0.000, 0.068, 0.725) and O at (0.220, 0.250, 0.525).

The value obtained for the calculated total energy is -6.10 eV/atom. For the total magnetization, the calculation gives 0.00 μB/atom. Its raw formation energy is -47.907 kcal/mol of atoms.


8.
Entry from the Alexandria database: a geometry-optimized La6DyCo3 structure (PBE).

It has space group Cmc2_1 (No. 36), with a = 11.244 Å, b = 13.622 Å, c = 7.254 Å, α = 90.00°, β = 90.00° and γ = 90.00°. The distinct sites, in fractional coordinates, are La at (0.000, 0.027, 0.000), La at (0.000, 0.329, 0.883), La at (0.167, 0.454, 0.509), La at (0.225, 0.185, 0.633), Dy at (0.000, 0.223, 0.326), Co at (0.000, 0.409, 0.191) and Co at (0.199, 0.105, 0.307).

The value obtained for the calculated total energy is -5.64 eV/atom. For the total magnetization, the calculation gives 0.00 μB/atom.


9.
Entry from the Alexandria database: a geometry-optimized SrW2Cl structure (PBE).

It has space group F-43m (No. 216), with a = 6.825 Å, b = 6.825 Å, c = 6.825 Å, α = 90.00°, β = 90.00° and γ = 90.00°. The distinct sites, in fractional coordinates, are Sr at (0.000, 0.000, 0.000), W at (0.000, 0.000, 0.500), W at (0.250, 0.250, 0.250) and Cl at (0.250, 0.250, 0.750).

The value obtained for the calculated total energy is -6.24 eV/atom. For the total magnetization, the calculation gives 0.00 μB/atom. The calculation puts the energy above the most stable polymorph in this dataset at 998.9 meV/atom. Its raw formation energy is 25.729 kcal/mol of atoms.


10.
Entry from the Alexandria database: a geometry-optimized YAlGaCu6 structure (PBE).

It has space group Imma (No. 74), with a = 6.803 Å, b = 8.755 Å, c = 9.738 Å, α = 90.00°, β = 90.00° and γ = 90.00°. The distinct sites, in fractional coordinates, are Y at (0.000, 0.250, 0.214), Al at (0.250, 0.250, 0.750), Ga at (0.000, 0.000, 0.000), Cu at (0.000, 0.250, 0.522), Cu at (0.000, 0.250, 0.921) and Cu at (0.182, 0.001, 0.373).

The value obtained for the calculated total energy is -4.13 eV/atom. For the total magnetization, the calculation gives 0.00 μB/atom.


11.
Entry from the Alexandria database: a geometry-optimized RbH2Rh structure (PBE).

It has space group R-3m (No. 166, hexagonal axes), with a = 3.2491 Å, b = 3.2491 Å, c = 17.0608 Å, α = 90.00°, β = 90.00° and γ = 120.00°. The distinct sites, in fractional coordinates, are Rb at (0.0000, 0.0000, 0.0000), H at (0.0000, 0.0000, 0.1959) and Rh at (0.0000, 0.0000, 0.5000).

The value obtained for the calculated total energy is -3.65 eV/atom. For the total magnetization, the calculation gives 0.00 μB/atom. The calculation puts the energy above the most stable polymorph in this dataset at 77.2 meV/atom.


12.
Entry from the Alexandria database: a geometry-optimized BaSc2Br structure (PBE).

It has space group Cmmm (No. 65), with a = 6.296 Å, b = 11.918 Å, c = 3.573 Å, α = 90.00°, β = 90.00° and γ = 90.00°. The distinct sites, in fractional coordinates, are Ba at (0.000, 0.000, 0.000), Sc at (0.250, 0.250, 0.500) and Br at (0.000, 0.500, 0.000).

The value obtained for the calculated total energy is -3.97 eV/atom. For the total magnetization, the calculation gives 0.43 μB/atom. The calculation puts the energy above the most stable polymorph in this dataset at 480.4 meV/atom. Its raw formation energy is 2.068 kcal/mol of atoms.